[1]
A plane-wave DFT calculation with PBE was carried out for a relaxed structure of MnFeCl3.

Properties
Symmetry: Pm-3m
V, Å³/cell: 121
Raw formation energy, kJ/mol of atoms: -8.88
Magnetization, μB/atom: 1.747

Cell: 4.941 4.941 4.941 Å, 90.00 90.00 90.00°
Element x y z (fractional)
1 Mn 0.000 0.000 0.000
2 Fe 0.500 0.500 0.500
3 Cl 0.000 0.000 0.500
4 Cl 0.000 0.500 0.000
5 Cl 0.500 0.000 0.000

=====

[2]
A plane-wave DFT calculation with PBE was carried out for a relaxed structure of TlZnCl.

Properties
Symmetry: Fmm2
V, Å³/cell: 80
Raw formation energy, kJ/mol of atoms: -32.60
Magnetization, μB/atom: 0.000

Cell: 7.800 7.440 3.528 Å, 82.38 70.98 26.63°
Element x y z (fractional)
1 Tl 0.000 0.000 0.000
2 Zn 0.668 0.668 0.332
3 Cl 0.277 0.277 0.723

=====

[3]
A plane-wave DFT calculation with PBE was carried out for a relaxed structure of HgW2Au.

Properties
Symmetry: Pm
V, Å³/cell: 71
VASP energy, eV per atom: -6.86
Magnetization, μB/atom: 0.000

Cell: 2.855 4.162 6.005 Å, 90.00 92.01 90.00°
Element x y z (fractional)
1 Hg 0.000 0.000 0.000
2 W 0.567 0.500 0.274
3 W 0.917 0.000 0.485
4 Au 0.471 0.500 0.745

=====

[4]
A plane-wave DFT calculation with PBE was carried out for a relaxed structure of LiInPt2.

Properties
Symmetry: P4mm
V, Å³/cell: 67
VASP energy, eV per atom: -4.45
Magnetization, μB/atom: 0.000

Cell: 2.899 2.899 7.987 Å, 90.00 90.00 90.00°
Element x y z (fractional)
1 Li 0.000 0.000 0.000
2 In 0.500 0.500 0.709
3 Pt 0.000 0.000 0.457
4 Pt 0.500 0.500 0.209

=====

[5]
A plane-wave DFT calculation with PBE was carried out for a relaxed structure of Y2CuOs.

Properties
Symmetry: P4mm
V, Å³/cell: 89
VASP energy, eV per atom: -6.97
Magnetization, μB/atom: 0.000

Cell: 3.421 3.421 7.612 Å, 90.00 90.00 90.00°
Element x y z (fractional)
1 Y 0.000 0.000 0.000
2 Y 0.500 0.500 0.409
3 Cu 0.000 0.000 0.627
4 Os 0.500 0.500 0.770

=====

[6]
A plane-wave DFT calculation with PBE was carried out for a relaxed structure of Tl2Ga2Ag.

Properties
Symmetry: I4/mmm
V, Å³/cell: 131
VASP energy, eV per atom: -2.40
Magnetization, μB/atom: 0.000

Cell: 7.015 7.015 7.015 Å, 141.89 141.89 54.99°
Element x y z (fractional)
1 Tl 0.250 0.750 0.500
2 Tl 0.750 0.250 0.500
3 Ga 0.098 0.098 0.000
4 Ga 0.902 0.902 0.000
5 Ag 0.500 0.500 0.000

=====

[7]
A plane-wave DFT calculation with PBE was carried out for a relaxed structure of BaLi3Y.

Properties
Symmetry: Pm-3m
V, Å³/cell: 196
VASP energy, eV per atom: -2.21
Magnetization, μB/atom: 0.000

Cell: 5.807 5.807 5.807 Å, 90.00 90.00 90.00°
Element x y z (fractional)
1 Ba 0.000 0.000 0.000
2 Li 0.000 0.500 0.500
3 Li 0.500 0.000 0.500
4 Li 0.500 0.500 0.000
5 Y 0.500 0.500 0.500

=====

[8]
A plane-wave DFT calculation with PBE was carried out for a relaxed structure of KZr2Ru.

Properties
Symmetry: C2/m
V, Å³/cell: 86
VASP energy, eV per atom: -6.03
Magnetization, μB/atom: 0.000

Cell: 5.959 5.959 2.882 Å, 102.28 102.28 114.07°
Element x y z (fractional)
1 K 0.000 0.000 0.000
2 Zr 0.000 0.500 0.500
3 Zr 0.500 0.000 0.500
4 Ru 0.500 0.500 0.000

=====

[9]
A plane-wave DFT calculation with PBE was carried out for a relaxed structure of LiCdSe2N.

Properties
Symmetry: P4/mmm
V, Å³/cell: 125
Raw formation energy, kJ/mol of atoms: 68.93
Magnetization, μB/atom: 0.613

Cell: 5.406 5.406 4.265 Å, 90.00 90.00 90.00°
Element x y z (fractional)
1 Li 0.000 0.000 0.000
2 Cd 0.500 0.500 0.500
3 Se 0.000 0.500 0.500
4 Se 0.500 0.000 0.500
5 N 0.500 0.500 0.000

=====

[10]
A plane-wave DFT calculation with PBE was carried out for a relaxed structure of Ce6AsOs2.

Properties
Symmetry: C2/m
V, Å³/cell: 217
VASP energy, eV per atom: -7.35
Magnetization, μB/atom: 0.143

Cell: 5.677 5.677 9.049 Å, 99.66 99.66 49.35°
Element x y z (fractional)
1 Ce 0.053 0.053 0.338
2 Ce 0.313 0.313 0.911
3 Ce 0.387 0.387 0.348
4 Ce 0.613 0.613 0.652
5 Ce 0.687 0.687 0.089
6 Ce 0.947 0.947 0.662
7 As 0.000 0.000 0.000
8 Os 0.272 0.272 0.619
9 Os 0.728 0.728 0.381

=====

[11]
A plane-wave DFT calculation with PBE was carried out for a relaxed structure of Cs2NdPbO4.

Properties
Symmetry: C2
V, Å³/cell: 208
Raw formation energy, kJ/mol of atoms: -169.41
Magnetization, μB/atom: 0.110

Cell: 6.690 6.690 6.576 Å, 119.39 119.39 92.00°
Element x y z (fractional)
1 Cs 0.000 0.000 0.000
2 Cs 0.750 0.250 0.500
3 Nd 0.500 0.500 0.000
4 Pb 0.250 0.750 0.500
5 O 0.228 0.479 0.605
6 O 0.378 0.125 0.898
7 O 0.521 0.772 0.395
8 O 0.875 0.622 0.102

=====

[12]
A plane-wave DFT calculation with PBE was carried out for a relaxed structure of MnVTcNi.

Properties
Symmetry: F-43m
V, Å³/cell: 52
VASP energy, eV per atom: -8.64
Magnetization, μB/atom: 0.878

Cell: 4.182 4.182 4.182 Å, 60.00 60.00 60.00°
Element x y z (fractional)
1 Mn 0.000 0.000 0.000
2 V 0.500 0.500 0.500
3 Tc 0.250 0.250 0.250
4 Ni 0.750 0.750 0.750

=====

[13]
A plane-wave DFT calculation with PBE was carried out for a relaxed structure of TePd2Rh2.

Properties
Symmetry: P4/mbm
V, Å³/cell: 173
Raw formation energy, kJ/mol of atoms: 9.76
Magnetization, μB/atom: 0.000

Cell: 6.646 6.646 3.914 Å, 90.00 90.00 90.00°
Element x y z (fractional)
1 Te 0.000 0.000 0.000
2 Te 0.500 0.500 0.000
3 Pd 0.156 0.344 0.500
4 Pd 0.344 0.844 0.500
5 Pd 0.656 0.156 0.500
6 Pd 0.844 0.656 0.500
7 Rh 0.140 0.640 0.000
8 Rh 0.360 0.140 0.000
9 Rh 0.640 0.860 0.000
10 Rh 0.860 0.360 0.000

=====

[14]
A plane-wave DFT calculation with PBE was carried out for a relaxed structure of MnNiRh6.

Properties
Symmetry: P4/mmm
V, Å³/cell: 110
VASP energy, eV per atom: -7.41
Magnetization, μB/atom: 0.059

Cell: 5.380 5.380 3.796 Å, 90.00 90.00 90.00°
Element x y z (fractional)
1 Mn 0.000 0.000 0.000
2 Ni 0.500 0.500 0.000
3 Rh 0.000 0.500 0.000
4 Rh 0.251 0.251 0.500
5 Rh 0.251 0.749 0.500
6 Rh 0.500 0.000 0.000
7 Rh 0.749 0.251 0.500
8 Rh 0.749 0.749 0.500

=====

[15]
A plane-wave DFT calculation with PBE was carried out for a relaxed structure of Ni2Os.

Properties
Symmetry: P6_3/mmc
V, Å³/cell: 74
VASP energy, eV per atom: -7.17
Magnetization, μB/atom: 0.195

Cell: 4.127 4.127 5.019 Å, 90.00 90.00 120.00°
Element x y z (fractional)
1 Ni 0.000 0.000 0.000
2 Ni 0.000 0.000 0.500
3 Ni 0.333 0.667 0.250
4 Ni 0.667 0.333 0.750
5 Os 0.333 0.667 0.750
6 Os 0.667 0.333 0.250

=====

[16]
A plane-wave DFT calculation with PBE was carried out for a relaxed structure of Si2NiP.

Properties
Symmetry: I-42d
V, Å³/cell: 143
Raw formation energy, kJ/mol of atoms: 1.96
Magnetization, μB/atom: 0.000

Cell: 6.245 6.245 6.245 Å, 129.19 129.19 74.70°
Element x y z (fractional)
1 Si 0.111 0.625 0.986
2 Si 0.375 0.361 0.486
3 Si 0.639 0.125 0.014
4 Si 0.875 0.889 0.514
5 Ni 0.000 0.000 0.000
6 Ni 0.750 0.250 0.500
7 P 0.250 0.750 0.500
8 P 0.500 0.500 0.000

=====

[17]
A plane-wave DFT calculation with PBE was carried out for a relaxed structure of MgRh2Se.

Properties
Symmetry: Imm2
V, Å³/cell: 63
Raw formation energy, kJ/mol of atoms: -27.86
Magnetization, μB/atom: 0.000

Cell: 5.403 5.403 5.403 Å, 146.41 133.21 58.82°
Element x y z (fractional)
1 Mg 0.000 0.000 0.000
2 Rh 0.271 0.771 0.500
3 Rh 0.538 0.538 0.000
4 Se 0.740 0.240 0.500

=====

[18]
A plane-wave DFT calculation with PBE was carried out for a relaxed structure of BaSr2Cd2.

Properties
Symmetry: P2_1/m
V, Å³/cell: 425
VASP energy, eV per atom: -1.61
Magnetization, μB/atom: 0.000

Cell: 6.199 4.902 14.088 Å, 90.00 97.34 90.00°
Element x y z (fractional)
1 Ba 0.183 0.250 0.241
2 Ba 0.817 0.750 0.759
3 Sr 0.246 0.750 0.490
4 Sr 0.351 0.250 0.891
5 Sr 0.649 0.750 0.109
6 Sr 0.754 0.250 0.510
7 Cd 0.124 0.750 0.020
8 Cd 0.298 0.250 0.653
9 Cd 0.702 0.750 0.347
10 Cd 0.876 0.250 0.980

=====

[19]
A plane-wave DFT calculation with PBE was carried out for a relaxed structure of Ce2UMoN5.

Properties
Symmetry: I4/mcm
V, Å³/cell: 249
Raw formation energy, kJ/mol of atoms: -97.88
Magnetization, μB/atom: 0.286

Cell: 7.415 7.415 7.415 Å, 127.40 127.40 77.60°
Element x y z (fractional)
1 Ce 0.169 0.669 0.838
2 Ce 0.331 0.169 0.500
3 Ce 0.669 0.831 0.500
4 Ce 0.831 0.331 0.162
5 U 0.250 0.250 0.000
6 U 0.750 0.750 0.000
7 Mo 0.250 0.750 0.500
8 Mo 0.750 0.250 0.500
9 N 0.000 0.000 0.000
10 N 0.013 0.194 0.500
11 N 0.194 0.694 0.181
12 N 0.306 0.487 0.500
13 N 0.487 0.987 0.181
14 N 0.500 0.500 0.000
15 N 0.513 0.013 0.819
16 N 0.694 0.513 0.500
17 N 0.806 0.306 0.819
18 N 0.987 0.806 0.500

=====

[20]
A plane-wave DFT calculation with PBE was carried out for a relaxed structure of MgMn5N4.

Properties
Symmetry: Pmmn
V, Å³/cell: 208
Raw formation energy, kJ/mol of atoms: -17.46
Magnetization, μB/atom: 0.746

Cell: 6.038 7.264 4.734 Å, 90.00 90.00 90.00°
Element x y z (fractional)
1 Mg 0.250 0.250 0.220
2 Mg 0.750 0.750 0.780
3 Mn 0.025 0.076 0.758
4 Mn 0.025 0.424 0.758
5 Mn 0.250 0.750 0.816
6 Mn 0.475 0.076 0.758
7 Mn 0.475 0.424 0.758
8 Mn 0.525 0.576 0.242
9 Mn 0.525 0.924 0.242
10 Mn 0.750 0.250 0.184
11 Mn 0.975 0.576 0.242
12 Mn 0.975 0.924 0.242
13 N 0.031 0.750 0.528
14 N 0.250 0.521 0.030
15 N 0.250 0.979 0.030
16 N 0.469 0.750 0.528
17 N 0.531 0.250 0.472
18 N 0.750 0.021 0.970
19 N 0.750 0.479 0.970
20 N 0.969 0.250 0.472